1.
## Ba2MgIr (PBE-GGA)

Data for crystalline Ba2MgIr at its relaxed geometry.

Calculated values
energy relative to the elements	0.2245	eV per atom
crystal system	cubic
energy	-0.2463	Ry/atom

CIF file:
```
data_Ba2MgIr
_symmetry_space_group_name_H-M 'F -4 3 m'
_symmetry_Int_Tables_number 216
_symmetry_space_group_name_Hall 'F -4 2 3'
_cell_length_a 7.670
_cell_length_b 7.670
_cell_length_c 7.670
_cell_angle_alpha 90.00
_cell_angle_beta 90.00
_cell_angle_gamma 90.00
loop_
_atom_site_label
_atom_site_type_symbol
_atom_site_fract_x
_atom_site_fract_y
_atom_site_fract_z
Ba1 Ba 0.000 0.000 0.000
Ba2 Ba 0.250 0.250 0.250
Mg1 Mg 0.000 0.000 0.500
Ir1 Ir 0.250 0.250 0.750
```



2.
## RbSn (PBE-GGA)

Data for crystalline RbSn at its relaxed geometry.

Calculated values
energy relative to the elements	0.0035	eV per atom
crystal system	tetragonal
energy	-0.1824	Ry/atom

CIF file:
```
data_RbSn
_symmetry_space_group_name_H-M 'P 42/m n m'
_symmetry_Int_Tables_number 136
_symmetry_space_group_name_Hall '-P 4n 2n'
_cell_length_a 7.648
_cell_length_b 7.648
_cell_length_c 7.589
_cell_angle_alpha 90.00
_cell_angle_beta 90.00
_cell_angle_gamma 90.00
loop_
_atom_site_label
_atom_site_type_symbol
_atom_site_fract_x
_atom_site_fract_y
_atom_site_fract_z
Rb1 Rb 0.173 0.173 0.000
Sn1 Sn 0.123 0.123 0.500
```



3.
## FeAu2I8 (PBE-GGA)

Data for crystalline FeAu2I8 at its relaxed geometry.

Calculated values
crystal system	monoclinic
formation energy from raw total energies	0.0198	eV per atom
energy	-0.1817	Ry/atom

CIF file:
```
data_FeAu2I8
_symmetry_space_group_name_H-M 'C 1 2/m 1'
_symmetry_Int_Tables_number 12
_cell_length_a 11.719
_cell_length_b 10.133
_cell_length_c 10.948
_cell_angle_alpha 90.00
_cell_angle_beta 119.15
_cell_angle_gamma 90.00
loop_
_symmetry_equiv_pos_as_xyz
'x,y,z'
'-x,-y,-z'
'-x,y,-z'
'x,-y,z'
'x+1/2,y+1/2,z'
'-x+1/2,-y+1/2,-z'
'-x+1/2,y+1/2,-z'
'x+1/2,-y+1/2,z'
loop_
_atom_site_label
_atom_site_type_symbol
_atom_site_fract_x
_atom_site_fract_y
_atom_site_fract_z
Fe1 Fe 0.000 0.000 0.000
Au1 Au 0.193 0.500 0.590
I1 I 0.012 0.500 0.678
I2 I 0.131 0.180 0.175
I3 I 0.145 0.000 0.519
```



4.
## TiIN2F (PBE-GGA)

Data for crystalline TiIN2F at its relaxed geometry.

Calculated values
energy above the most stable polymorph in this dataset	0	meV per atom
crystal system	tetragonal
formation energy from raw total energies	-0.1958	eV per atom
energy	-0.4255	Ry/atom

CIF file:
```
data_TiIN2F
_symmetry_space_group_name_H-M 'P 4/m m m'
_symmetry_Int_Tables_number 123
_symmetry_space_group_name_Hall '-P 4 2'
_cell_length_a 4.134
_cell_length_b 4.134
_cell_length_c 3.918
_cell_angle_alpha 90.00
_cell_angle_beta 90.00
_cell_angle_gamma 90.00
loop_
_atom_site_label
_atom_site_type_symbol
_atom_site_fract_x
_atom_site_fract_y
_atom_site_fract_z
Ti1 Ti 0.000 0.000 0.000
I1 I 0.500 0.500 0.500
N1 N 0.000 0.500 0.000
F1 F 0.000 0.000 0.500
```



5.
## PrNi3Ru (PBE-GGA)

Data for crystalline PrNi3Ru at its relaxed geometry.

Calculated values
energy relative to the elements	0.0211	eV per atom
crystal system	hexagonal
energy	-0.4600	Ry/atom

CIF file:
```
data_PrNi3Ru
_symmetry_space_group_name_H-M 'P 63/m m c'
_symmetry_Int_Tables_number 194
_symmetry_space_group_name_Hall '-P 6c 2c'
_cell_length_a 5.9888
_cell_length_b 5.9888
_cell_length_c 5.3353
_cell_angle_alpha 90.00
_cell_angle_beta 90.00
_cell_angle_gamma 120.00
loop_
_atom_site_label
_atom_site_type_symbol
_atom_site_fract_x
_atom_site_fract_y
_atom_site_fract_z
Pr1 Pr 0.3333 0.6667 0.2500
Ni1 Ni 0.2010 0.4019 0.7500
Ru1 Ru 0.0000 0.0000 0.0000
```



6.
## KSbP (PBE-GGA)

Data for crystalline KSbP at its relaxed geometry.

Calculated values
energy above the most stable polymorph in this dataset	843	meV per atom
crystal system	hexagonal
formation energy from raw total energies	0.5679	eV per atom
energy	-0.2187	Ry/atom

CIF file:
```
data_KSbP
_symmetry_space_group_name_H-M 'P 63/m m c'
_symmetry_Int_Tables_number 194
_symmetry_space_group_name_Hall '-P 6c 2c'
_cell_length_a 5.3439
_cell_length_b 5.3439
_cell_length_c 6.5589
_cell_angle_alpha 90.00
_cell_angle_beta 90.00
_cell_angle_gamma 120.00
loop_
_atom_site_label
_atom_site_type_symbol
_atom_site_fract_x
_atom_site_fract_y
_atom_site_fract_z
K1 K 0.3333 0.6667 0.2500
Sb1 Sb 0.3333 0.6667 0.7500
P1 P 0.0000 0.0000 0.0000
```



7.
## TaPbCl2 (PBE-GGA)

Data for crystalline TaPbCl2 at its relaxed geometry.

Calculated values
energy above the most stable polymorph in this dataset	410	meV per atom
crystal system	monoclinic
formation energy from raw total energies	-0.0778	eV per atom
energy	-0.3595	Ry/atom

CIF file:
```
data_TaPbCl2
_symmetry_space_group_name_H-M 'P 1 2/m 1'
_symmetry_Int_Tables_number 10
_cell_length_a 3.172
_cell_length_b 4.412
_cell_length_c 6.155
_cell_angle_alpha 90.00
_cell_angle_beta 90.87
_cell_angle_gamma 90.00
loop_
_symmetry_equiv_pos_as_xyz
'x,y,z'
'-x,-y,-z'
'-x,y,-z'
'x,-y,z'
loop_
_atom_site_label
_atom_site_type_symbol
_atom_site_fract_x
_atom_site_fract_y
_atom_site_fract_z
Ta1 Ta 0.000 0.000 0.000
Pb1 Pb 0.500 0.000 0.500
Cl1 Cl 0.004 0.500 0.774
```



8.
## K3ZrU3Te8 (PBE-GGA)

Data for crystalline K3ZrU3Te8 at its relaxed geometry.

Calculated values
crystal system	monoclinic
formation energy from raw total energies	-0.8391	eV per atom
energy	-0.4088	Ry/atom

CIF file:
```
data_K3ZrU3Te8
_symmetry_space_group_name_H-M 'C 1 2/m 1'
_symmetry_Int_Tables_number 12
_cell_length_a 15.138
_cell_length_b 8.754
_cell_length_c 9.899
_cell_angle_alpha 90.00
_cell_angle_beta 120.47
_cell_angle_gamma 90.00
loop_
_symmetry_equiv_pos_as_xyz
'x,y,z'
'-x,-y,-z'
'-x,y,-z'
'x,-y,z'
'x+1/2,y+1/2,z'
'-x+1/2,-y+1/2,-z'
'-x+1/2,y+1/2,-z'
'x+1/2,-y+1/2,z'
loop_
_atom_site_label
_atom_site_type_symbol
_atom_site_fract_x
_atom_site_fract_y
_atom_site_fract_z
K1 K 0.000 0.000 0.000
K2 K 0.250 0.250 0.000
Zr1 Zr 0.000 0.000 0.500
U1 U 0.000 0.500 0.500
U2 U 0.250 0.250 0.500
Te1 Te 0.012 0.241 0.295
Te2 Te 0.229 0.000 0.704
Te3 Te 0.239 0.500 0.715
```



Theoretical density for every record listed, in sequence, given in g cm⁻³: 7.23 3.06 4.29 5.50 8.38 3.93 8.85 5.71.